# KNaMnO2

An optimized crystal structure of KNaMnO2 (PBEsol, Alexandria).

Structure (extended XYZ):
```
20
Lattice="4.653 -4.811 0.000 4.653 4.811 0.000 0.000 0.000 6.923" Properties=species:S:1:pos:R:3 pbc="T T T"
K 0.000 0.000 1.731
K 0.000 0.000 5.192
K 2.327 2.405 0.000
K 2.327 -2.405 3.461
Na 3.265 0.000 1.731
Na 3.265 0.000 5.192
Na 6.042 0.000 1.731
Na 6.042 0.000 5.192
Mn 3.702 2.244 3.461
Mn 5.605 2.244 0.000
Mn 3.702 -2.244 0.000
Mn 5.605 -2.244 3.461
O 2.072 0.877 3.461
O 4.653 1.906 1.731
O 4.653 1.906 5.192
O 2.072 -0.877 0.000
O 7.235 0.877 0.000
O 4.653 -1.906 1.731
O 4.653 -1.906 5.192
O 7.235 -0.877 3.461
```

Calculated volume (Å³/atom): 15.5
E (eV per cell): -116.04
Space-group type: Cccm (66)
E_form (uncorrected) (meV per atom): -1243
Fermi-level density of states (states/eV per cell): 2.97

# Rb2SbAuI6

An optimized crystal structure of Rb2SbAuI6 (PBEsol, Alexandria).

Structure (extended XYZ):
```
10
Lattice="0.000 5.863 5.863 5.863 0.000 5.863 5.863 5.863 0.000" Properties=species:S:1:pos:R:3 pbc="T T T"
Rb 2.932 2.932 2.932
Rb 8.795 8.795 8.795
Sb 0.000 0.000 0.000
Au 5.863 5.863 5.863
I 5.863 5.863 2.988
I 5.863 2.988 5.863
I 8.738 5.863 5.863
I 2.988 5.863 5.863
I 5.863 8.738 5.863
I 5.863 5.863 8.738
```

Calculated volume (Å³/atom): 40.3
E (eV per cell): -28.05
Space-group type: Fm-3m (225)
E_form (uncorrected) (meV per atom): -692
Fermi-level density of states (states/eV per cell): 1.29

# BaNaYO2

An optimized crystal structure of BaNaYO2 (PBEsol, Alexandria).

Structure (extended XYZ):
```
5
Lattice="4.464 0.000 0.000 0.000 4.464 0.000 0.000 0.000 6.379" Properties=species:S:1:pos:R:3 pbc="T T T"
Ba 0.000 0.000 0.000
Na 2.232 2.232 0.000
Y 0.000 0.000 3.189
O 0.000 2.232 3.189
O 2.232 0.000 3.189
```

Calculated volume (Å³/atom): 25.4
E (eV per cell): -25.04
Space-group type: P4/mmm (123)
E_form (uncorrected) (meV per atom): -834
Fermi-level density of states (states/eV per cell): 4.05

# KC2

An optimized crystal structure of KC2 (PBEsol, Alexandria).

Structure (extended XYZ):
```
6
Lattice="2.654 0.000 0.000 0.000 8.097 0.000 0.000 0.000 3.870" Properties=species:S:1:pos:R:3 pbc="T T T"
K 0.000 0.000 0.000
K 1.327 4.049 0.000
C 0.000 2.154 1.935
C 0.000 5.943 1.935
C 1.327 1.895 1.935
C 1.327 6.203 1.935
```

Calculated volume (Å³/atom): 13.9
E (eV per cell): -38.02
Space-group type: Cmmm (65)
Fermi-level density of states (states/eV per cell): 1.09
Formation energy from the elements (eV/f.u.): 1.4

Question: Which value of calculated volume does entry 2 give?
Answer: 40.3 Å³/atom

Question: Number 1 is which compound?
Answer: KNaMnO2

Question: Among the records above, which one has the lowest Fermi-level density of states?
Answer: KC2